Entry 1:
A relaxed structure of CoHgSe4. Source: the Alexandria database, functional GGA-PBE.

It has space group F-43m (No. 216), with a = 8.1243 Å, b = 8.1243 Å, c = 8.1243 Å, α = 90.00°, β = 90.00° and γ = 90.00°. The asymmetric unit holds Co at (0.0000, 0.0000, 0.0000), Hg at (0.2500, 0.2500, 0.7500) and Se at (0.1251, 0.1251, 0.3749).

As for the volume: 134.06 Å³/f.u. The density of states at the Fermi level comes out at 18.1 states/eV per cell. The total energy comes out at -0.202 Ry/atom.

---

Entry 2:
A relaxed structure of La2Nd2SmTm2. Source: the Alexandria database, functional GGA-PBE.

It has space group C2/m (No. 12), with a = 11.5149 Å, b = 5.1508 Å, c = 8.1381 Å, α = 90.00°, β = 98.25° and γ = 90.00°. The asymmetric unit holds La at (0.1440, 0.0000, 0.4289), Nd at (0.0711, 0.5000, 0.7212), Sm at (0.0000, 0.0000, 0.0000) and Tm at (0.2160, 0.5000, 0.1379).

As for the volume: 238.84 Å³/f.u. The density of states at the Fermi level comes out at 23.2 states/eV per cell. For the energy of formation from the pure elements, the calculation gives 0.027 eV per atom. The total energy comes out at -0.345 Ry/atom.

---

Entry 3:
A relaxed structure of CePm2SmEr5. Source: the Alexandria database, functional GGA-PBE.

It has space group I4/mcm (No. 140), with a = 8.6273 Å, b = 8.6273 Å, c = 15.4146 Å, α = 90.00°, β = 90.00° and γ = 90.00°. The asymmetric unit holds Ce at (0.0000, 0.5000, 0.2500), Pm at (0.1191, 0.3809, 0.0000), Sm at (0.0000, 0.0000, 0.2500), Er at (0.0000, 0.0000, 0.0000) and Er at (0.2045, 0.2955, 0.3612).

As for the volume: 286.83 Å³/f.u. The density of states at the Fermi level comes out at 57.5 states/eV per cell. For the energy of formation from the pure elements, the calculation gives 0.270 eV per atom. The total energy comes out at -0.331 Ry/atom.

---

Entry 4:
A relaxed structure of YP2C. Source: the Alexandria database, functional GGA-PBE.

It has space group I-42d (No. 122), with a = 6.0416 Å, b = 6.0416 Å, c = 7.1535 Å, α = 90.00°, β = 90.00° and γ = 90.00°. The asymmetric unit holds Y at (0.0000, 0.0000, 0.0000), P at (0.1339, 0.2500, 0.6250) and C at (0.0000, 0.0000, 0.5000).

As for the volume: 65.28 Å³/f.u. The density of states at the Fermi level comes out at 9.7 states/eV per cell. For the energy of formation from the pure elements, the calculation gives -0.045 eV per atom. The total energy comes out at -0.490 Ry/atom.

---

Entry 5:
A relaxed structure of AlB2OF. Source: the Alexandria database, functional GGA-PBE.

It has space group P4/mmm (No. 123), with a = 3.3556 Å, b = 3.3556 Å, c = 4.8143 Å, α = 90.00°, β = 90.00° and γ = 90.00°. The asymmetric unit holds Al at (0.0000, 0.0000, 0.0000), B at (0.0000, 0.5000, 0.5000), O at (0.5000, 0.5000, 0.0000) and F at (0.5000, 0.5000, 0.5000).

As for the volume: 54.21 Å³/f.u. The density of states at the Fermi level comes out at 1.6 states/eV per cell. The total energy comes out at -0.267 Ry/atom.